A plane-wave DFT calculation with PBE-GGA was carried out for crystalline Sm2YAl at its relaxed geometry.

a b c (Å): 3.559 3.559 9.242
angles (deg): 90.00 90.00 90.00
Element x y z (fractional)
Y (0.500, 0.500, 0.500)
Al (0.500, 0.500, 0.000)
Sm (0.000, 0.000, 0.786)
Sm (0.000, 0.000, 0.214)

SG: P4/mmm (123)
Density of states at the Fermi level in states/eV per atom: 1.081
Formation enthalpy at 0 K in meV/atom: -156
Calculated density in Mg/m³: 5.910